one) Here is an optimized crystal structure of SiAgBr2 from Alexandria via LeMat-Bulk. Energies are from PBE-GGA.

- magnetic moment (μB/f.u.) = 0.73

a b c (Å): 5.612 5.612 5.612
angles (deg): 138.94 104.58 89.67
Last column: magnetic moment on the atom in μB.
Positions (direct):
Br (0.996, 0.996, 0.000)  0.03
Br (0.504, 0.504, 0.000)  0.03
Si (0.750, 0.250, 0.500)  0.19
Ag (0.250, 0.750, 0.500)  0.01

***

two) Here is an optimized crystal structure of SiAgBr2 from Alexandria via LeMat-Bulk. Energies are from PBE-GGA.

- magnetic moment (μB/f.u.) = 0.00

a b c (Å): 10.147 10.147 10.147
angles (deg): 21.25 21.25 21.25
Positions (direct):
Ag (0.000, 0.000, 0.000)
Br (0.891, 0.891, 0.891)
Br (0.109, 0.109, 0.109)
Si (0.500, 0.500, 0.500)

***

Most stable of them? two).

***

one) Here is an optimized crystal structure of Ca2YMo from Alexandria via LeMat-Bulk. Energies are from PBE-GGA.

- magnetic moment (μB/f.u.) = 0.00

a b c (Å): 5.879 6.557 3.255
angles (deg): 78.78 83.13 114.75
Positions (direct):
Mo (0.000, 0.500, 0.500)
Y (0.500, 0.500, 0.000)
Ca (0.500, 0.000, 0.500)
Ca (0.000, 0.000, 0.000)

***

two) Here is an optimized crystal structure of Ca2YMo from Alexandria via LeMat-Bulk. Energies are from PBE-GGA.

- magnetic moment (μB/f.u.) = 0.21

a b c (Å): 7.143 7.143 5.427
angles (deg): 67.66 67.66 27.23
Last column: magnetic moment on the atom in μB.
Positions (direct):
Ca (0.052, 0.052, 0.948)  0.00
Ca (0.448, 0.448, 0.552)  0.00
Y (0.250, 0.250, 0.250)  0.01
Mo (0.750, 0.750, 0.750)  0.17

***

Most stable of them? two).

***

one) Here is an optimized crystal structure of RbIr2I from Alexandria via LeMat-Bulk. Energies are from PBE-GGA.

- magnetic moment (μB/f.u.) = 0.00

a b c (Å): 5.291 5.291 9.507
angles (deg): 73.84 73.84 90.00
Positions (direct):
Ir (0.375, 0.098, 0.750)
Ir (0.902, 0.125, 0.250)
Ir (0.875, 0.152, 0.750)
Ir (0.848, 0.625, 0.250)
Rb (0.250, 0.750, 0.500)
Rb (0.500, 0.500, 0.000)
I (0.000, 0.000, 0.000)
I (0.750, 0.250, 0.500)

***

two) Here is an optimized crystal structure of RbIr2I from Alexandria via LeMat-Bulk. Energies are from PBE-GGA.

- magnetic moment (μB/f.u.) = 0.77

a b c (Å): 4.960 4.960 4.960
angles (deg): 60.00 60.00 60.00
Last column: magnetic moment on the atom in μB.
Positions (direct):
Rb (0.000, 0.000, 0.000)  0.00
I (0.500, 0.500, 0.500)  0.02
Ir (0.250, 0.250, 0.250)  0.38
Ir (0.750, 0.750, 0.750)  0.38

***

Most stable of them? one).

***

one) Here is an optimized crystal structure of B5C7 from Alexandria via LeMat-Bulk. Energies are from PBE-GGA.

- magnetic moment (μB/f.u.) = 0.00

a b c (Å): 5.972 5.949 3.608
angles (deg): 87.92 93.22 141.91
Positions (direct):
B (0.811, 0.636, 0.267)
B (0.223, 0.886, 0.505)
B (0.821, 0.123, 0.465)
B (0.943, 0.497, 0.731)
B (0.356, 0.680, 0.995)
C (0.679, 0.826, 0.754)
C (0.331, 0.174, 0.765)
C (0.519, 0.032, 0.250)
C (0.014, 0.009, 0.010)
C (0.177, 0.333, 0.244)
C (0.642, 0.317, 0.998)
C (0.484, 0.488, 0.515)

***

two) Here is an optimized crystal structure of B5C7 from Alexandria via LeMat-Bulk. Energies are from PBE-GGA.

- magnetic moment (μB/f.u.) = 0.00

a b c (Å): 2.445 2.597 12.338
angles (deg): 90.00 90.00 90.00
Positions (direct):
C (0.000, 0.000, 0.005)
C (0.000, 0.000, 0.664)
C (0.500, 0.000, 0.932)
C (0.500, 0.500, 0.488)
C (0.000, 0.500, 0.076)
C (0.000, 0.500, 0.421)
C (0.500, 0.000, 0.246)
B (0.500, 0.000, 0.573)
B (0.000, 0.500, 0.739)
B (0.500, 0.500, 0.852)
B (0.500, 0.500, 0.170)
B (0.000, 0.000, 0.336)

***

Most stable of them? two).

***

one) Here is an optimized crystal structure of LiZrMo from Alexandria via LeMat-Bulk. Energies are from PBE-GGA.

- magnetic moment (μB/f.u.) = 0.00

a b c (Å): 7.513 7.513 7.513
angles (deg): 158.86 158.86 30.07
Positions (direct):
Zr (0.675, 0.675, 0.000)
Li (0.990, 0.990, 0.000)
Mo (0.336, 0.336, 0.000)

***

two) Here is an optimized crystal structure of LiZrMo from Alexandria via LeMat-Bulk. Energies are from PBE-GGA.

- magnetic moment (μB/f.u.) = 0.00

a b c (Å): 7.608 7.434 2.851
angles (deg): 82.53 75.65 21.82
Positions (direct):
Mo (0.332, 0.332, 0.668)
Li (0.990, 0.990, 0.010)
Zr (0.678, 0.678, 0.322)

***

Most stable of them? two).

***

one) Here is an optimized crystal structure of HgGeSeN2 from Alexandria via LeMat-Bulk. Energies are from PBE-GGA.

- magnetic moment (μB/f.u.) = 3.21

a b c (Å): 4.230 4.230 5.995
angles (deg): 90.00 90.00 90.00
Last column: magnetic moment on the atom in μB.
Positions (direct):
Ge (0.500, 0.500, 0.500)  -0.09
N (0.000, 0.500, 0.000)  1.06
N (0.500, 0.000, 0.000)  1.06
Hg (0.000, 0.000, 0.000)  0.12
Se (0.000, 0.000, 0.500)  0.18

***

two) Here is an optimized crystal structure of HgGeSeN2 from Alexandria via LeMat-Bulk. Energies are from PBE-GGA.

- magnetic moment (μB/f.u.) = 0.32

a b c (Å): 3.770 3.770 6.313
angles (deg): 90.00 90.00 90.00
Last column: magnetic moment on the atom in μB.
Positions (direct):
N (0.500, 0.000, 0.000)  0.10
N (0.000, 0.500, 0.000)  0.10
Ge (0.000, 0.000, 0.000)  -0.01
Se (0.000, 0.000, 0.500)  0.03
Hg (0.500, 0.500, 0.500)  0.00

***

Most stable of them? two).